This record from Alexandria describes crystalline LiPmRh at its relaxed geometry. The functional is PBE.

Computed properties:
ΔE_f, meV/atom: -235.8
DOS(E_F), states/eV/cell: 4.15
Total energy, eV/atom: -4.9078

Cell and atoms, written as POSCAR:
```
LiPmRh
1.0
4.618 0.000 0.000
2.309 3.999 0.000
2.309 1.333 3.771
Pm Li Rh
1 1 1
direct
0.500 0.500 0.500
0.000 0.000 0.000
0.250 0.250 0.250
```

This record from Alexandria describes crystalline GeSbPt at its relaxed geometry. The functional is PBE.

Computed properties:
Raw formation energy, eV per atom: -0.4530
DOS(E_F), states/eV/cell: 1.32
Total energy, eV/atom: -5.3798

Cell and atoms, written as POSCAR:
```
GeSbPt
1.0
-1.033 2.679 -5.851
2.057 -5.566 -2.912
-6.409 0.391 1.311
Ge Sb Pt
4 4 4
direct
0.859 0.327 0.654
0.641 0.827 0.654
0.141 0.673 0.346
0.359 0.173 0.346
0.626 0.361 0.161
0.374 0.639 0.839
0.126 0.139 0.839
0.874 0.861 0.161
0.508 0.211 0.721
0.992 0.711 0.721
0.492 0.789 0.279
0.008 0.289 0.279
```

This record from Alexandria describes crystalline HgMo2Pb at its relaxed geometry. The functional is PBE.

Computed properties:
ΔE_f, meV/atom: 814.8
DOS(E_F), states/eV/cell: 3.22
Total energy, eV/atom: -5.6033

Cell and atoms, written as POSCAR:
```
HgMo2Pb
1.0
5.570 0.001 0.002
-2.547 4.957 -0.004
0.475 0.871 2.804
Hg Mo Pb
1 2 1
direct
0.500 0.500 0.000
0.500 0.000 0.500
0.000 0.000 0.000
0.000 0.500 0.500
```

This record from Alexandria describes crystalline OsPdSN at its relaxed geometry. The functional is PBE.

Computed properties:
Raw formation energy, eV per atom: 0.4069
DOS(E_F), states/eV/cell: 5.50
Total energy, eV/atom: -6.8119

Cell and atoms, written as POSCAR:
```
OsPdSN
1.0
-1.934 0.794 -2.404
0.970 -3.265 -1.859
-7.907 -5.026 4.701
Pd N S Os
2 2 2 2
direct
0.000 0.500 0.185
0.500 0.000 0.685
0.500 0.000 0.899
0.000 0.500 0.399
0.500 0.000 0.174
0.000 0.500 0.674
0.500 0.500 0.490
0.000 0.000 0.990
```